(1)
Computed, not measured: a geometry-optimized Ca2NpVN5 structure at the PBE level of DFT.

a = 3.3763 Å, b = 7.1228 Å, c = 10.5047 Å
α = 90.00°, β = 90.00°, γ = 103.71°
Sites, in units of the cell vectors:
Ca 0.1332 0.2663 0.2960
Ca 0.8668 0.7336 0.7960
Ca 0.1026 0.2053 0.6940
Ca 0.8974 0.7947 0.1940
N 0.2820 0.5640 0.6394
N 0.9493 0.8987 0.5236
N 0.4984 0.9968 0.7974
N 0.3772 0.7544 0.0060
N 0.2950 0.5900 0.3931
N 0.6228 0.2456 0.5060
N 0.5016 0.0032 0.2974
N 0.7180 0.4360 0.1394
N 0.0507 0.1013 0.0236
N 0.7050 0.4100 0.8931
V 0.5054 0.0108 0.9613
V 0.4946 0.9892 0.4613
Np 0.7849 0.5698 0.5133
Np 0.2151 0.4302 0.0133

## Properties
Magnetic moment in μB per formula unit: 1.00
Raw formation energy in meV per atom: -1066.0
Fermi-level density of states in states/eV/atom: 0.21

(2)
Computed, not measured: a geometry-optimized Ca4Np3VN8 structure at the PBE level of DFT.

a = 6.7847 Å, b = 6.8799 Å, c = 6.7848 Å
α = 119.54°, β = 120.00°, γ = 90.00°
Sites, in units of the cell vectors:
N 0.2361 0.7116 0.9755
N 0.2361 0.7116 0.4722
N 0.7639 0.2884 0.5278
N 0.7395 0.7116 0.9755
N 0.7403 0.7208 0.4805
N 0.2597 0.2792 0.5195
N 0.7639 0.2884 0.0245
N 0.2605 0.2884 0.0245
Np 0.5000 0.5000 0.0000
Np 0.0000 0.5000 0.5000
Np 0.5000 0.5000 0.5000
Ca 0.0000 0.0000 0.0000
Ca 0.5000 0.0000 0.5000
Ca 0.0000 0.0000 0.5000
Ca 0.5000 0.0000 0.0000
V 0.0000 0.5000 0.0000

## Properties
Magnetic moment in μB per formula unit: 9.98
Raw formation energy in meV per atom: -1096.1
Fermi-level density of states in states/eV/atom: 1.03

(3)
Computed, not measured: a geometry-optimized Ca3Np3VN8 structure at the PBE level of DFT.

a = 6.6795 Å, b = 6.6792 Å, c = 6.8550 Å
α = 119.16°, β = 90.00°, γ = 120.00°
Sites, in units of the cell vectors:
Ca 0.0000 0.5000 0.0000
Ca 0.0000 0.0000 0.0000
Ca 0.5000 0.5000 0.0000
N 0.7426 0.4851 0.7277
N 0.7797 0.0283 0.3080
N 0.7514 0.9717 0.6920
N 0.7797 0.5593 0.3080
N 0.2486 0.0283 0.3080
N 0.2203 0.4407 0.6920
N 0.2574 0.5149 0.2723
N 0.2203 0.9717 0.6920
Np 0.5000 0.5000 0.5000
Np 0.5000 0.0000 0.5000
Np 0.0000 0.5000 0.5000
V 0.0000 0.0000 0.5000

## Properties
Magnetic moment in μB per formula unit: 8.01
Raw formation energy in meV per atom: -1037.4
Fermi-level density of states in states/eV/atom: 1.04

(4)
Computed, not measured: a geometry-optimized CaNp2VN4 structure at the PBE level of DFT.

a = 3.3977 Å, b = 6.0237 Å, c = 11.8724 Å
α = 90.00°, β = 90.00°, γ = 106.38°
Sites, in units of the cell vectors:
N 0.2637 0.5274 0.1222
N 0.2637 0.5274 0.3778
N 0.7363 0.4726 0.8778
N 0.0000 0.0000 0.0000
N 0.4205 0.8410 0.7500
N 0.5795 0.1590 0.2500
N 0.7363 0.4726 0.6222
N 0.0000 0.0000 0.5000
V 0.1695 0.3391 0.2500
V 0.8305 0.6609 0.7500
Ca 0.0963 0.1927 0.7500
Ca 0.9037 0.8073 0.2500
Np 0.6315 0.2630 0.0437
Np 0.3685 0.7370 0.5437
Np 0.6315 0.2630 0.4563
Np 0.3685 0.7370 0.9563

## Properties
Magnetic moment in μB per formula unit: 8.22
Raw formation energy in meV per atom: -1004.8
Fermi-level density of states in states/eV/atom: 1.37

(5)
Computed, not measured: a geometry-optimized Ca3Np3WN8 structure at the PBE level of DFT.

a = 6.7357 Å, b = 6.7357 Å, c = 6.8901 Å
α = 119.26°, β = 90.01°, γ = 119.99°
Sites, in units of the cell vectors:
N 0.7599 0.9782 0.6965
N 0.7817 0.5634 0.3035
N 0.2183 0.9781 0.6965
N 0.7817 0.0219 0.3035
N 0.2578 0.5156 0.2734
N 0.2183 0.4366 0.6965
N 0.2401 0.0218 0.3035
N 0.7422 0.4844 0.7266
Ca 0.0000 0.5000 0.0000
Ca 0.0000 0.0000 0.0000
Ca 0.5000 0.5000 0.0000
Np 0.0000 0.5000 0.5000
Np 0.5000 0.5000 0.5000
Np 0.5000 0.0000 0.5000
W 0.0000 0.0000 0.5000

## Properties
Magnetic moment in μB per formula unit: 8.99
Raw formation energy in meV per atom: -1012.7
Fermi-level density of states in states/eV/atom: 1.10

(6)
Computed, not measured: a geometry-optimized Ca3YNp2N6 structure at the PBE level of DFT.

a = 3.4990 Å, b = 6.9984 Å, c = 7.7434 Å
α = 103.32°, β = 103.06°, γ = 90.00°
Sites, in units of the cell vectors:
Ca 0.5000 0.5000 0.0000
Ca 0.8337 0.1671 0.6673
Ca 0.1663 0.8329 0.3327
Np 0.8345 0.6703 0.6691
Np 0.1655 0.3297 0.3309
N 0.6772 0.5651 0.3545
N 0.0150 0.2492 0.0300
N 0.6642 0.1090 0.3284
N 0.9850 0.7508 0.9700
N 0.3228 0.4349 0.6455
N 0.3358 0.8910 0.6716
Y 0.5000 0.0000 0.0000

## Properties
Magnetic moment in μB per formula unit: 5.00
Raw formation energy in meV per atom: -1258.0
Fermi-level density of states in states/eV/atom: 0.90

(7)
Computed, not measured: a geometry-optimized Ca2YNpN4 structure at the PBE level of DFT.

a = 3.5045 Å, b = 5.9783 Å, c = 6.0159 Å
α = 108.70°, β = 90.00°, γ = 90.00°
Sites, in units of the cell vectors:
Y 0.5000 0.5000 0.0000
Ca 0.5000 0.0000 0.5000
Ca 0.0000 0.5000 0.5000
N 0.0000 0.7661 0.2131
N 0.5000 0.7687 0.7783
N 0.0000 0.2339 0.7869
N 0.5000 0.2313 0.2217
Np 0.0000 0.0000 0.0000

## Properties
Magnetic moment in μB per formula unit: 2.00
Raw formation energy in meV per atom: -1307.1
Fermi-level density of states in states/eV/atom: 0.48

(8)
Computed, not measured: a geometry-optimized Ca2Y3NpN6 structure at the PBE level of DFT.

a = 6.0210 Å, b = 6.0210 Å, c = 5.9888 Å
α = 99.62°, β = 99.62°, γ = 119.95°
Sites, in units of the cell vectors:
Y 0.8314 0.1686 0.5000
Y 0.5000 0.5000 0.5000
Y 0.1686 0.8314 0.5000
N 0.2162 0.2162 0.7627
N 0.6109 0.9156 0.7483
N 0.9156 0.6109 0.7483
N 0.0844 0.3891 0.2517
N 0.3891 0.0844 0.2517
N 0.7838 0.7838 0.2373
Np 0.0000 0.0000 0.0000
Ca 0.3331 0.6669 0.0000
Ca 0.6669 0.3331 0.0000

## Properties
Magnetic moment in μB per formula unit: 1.98
Raw formation energy in meV per atom: -1424.0
Fermi-level density of states in states/eV/atom: 0.41